# MgCrO4

A relaxed structure of MgCrO4 (GGA+U, Alexandria via LeMat-Bulk).

CIF file:
```
data_MgCrO4
_symmetry_space_group_name_H-M 'I -4'
_symmetry_Int_Tables_number 82
_cell_length_a 5.784
_cell_length_b 5.784
_cell_length_c 8.350
_cell_angle_alpha 90.00
_cell_angle_beta 90.00
_cell_angle_gamma 90.00
loop_
_symmetry_equiv_pos_as_xyz
'x,y,z'
'y,-x,-z'
'-x,-y,z'
'-y,x,-z'
'x+1/2,y+1/2,z+1/2'
'y+1/2,-x+1/2,-z+1/2'
'-x+1/2,-y+1/2,z+1/2'
'-y+1/2,x+1/2,-z+1/2'
loop_
_atom_site_label
_atom_site_type_symbol
_atom_site_fract_x
_atom_site_fract_y
_atom_site_fract_z
Mg1 Mg 0.000 0.000 0.000
Cr1 Cr 0.000 0.500 0.750
O1 O 0.051 0.729 0.865
```

Energy ... -0.4802 Ry/atom
Distance to the lowest polymorph of the same formula ... 0.038 eV/atom